A plane-wave DFT calculation with meta-GGA SCAN was carried out for LiB6C at its PBEsol-relaxed geometry.

Values from the calculation:
space-group type: Amm2
energy of formation from the pure elements: -228 kJ/mol of formula units
M_tot: 0.00 μB per formula unit
theoretical density: 2.4 g/cm3

Lattice parameters (Å, degrees): 4.687 5.292 5.292 115.73 90.00 90.00
Atoms (fractional coordinates):
Li: 0.000 0.206 0.794
Li: 0.000 0.794 0.206
B: 0.193 0.581 0.777
B: 0.193 0.777 0.581
B: 0.316 0.423 0.423
B: 0.317 0.937 0.937
B: 0.500 0.012 0.673
B: 0.500 0.349 0.687
B: 0.500 0.673 0.012
B: 0.500 0.687 0.349
B: 0.683 0.937 0.937
B: 0.684 0.423 0.423
B: 0.807 0.581 0.777
B: 0.807 0.777 0.581
C: 0.147 0.181 0.181
C: 0.853 0.181 0.181

A plane-wave DFT calculation with meta-GGA SCAN was carried out for LiBC4N4 at its PBEsol-relaxed geometry.

Values from the calculation:
space-group type: P-43m
M_tot: 0.00 μB per formula unit
formation energy (no corrections): -0.0389 eV per atom
theoretical density: 1.2 g/cm3

Lattice parameters (Å, degrees): 5.495 5.495 5.495 90.00 90.00 90.00
Atoms (fractional coordinates):
Li: 0.000 0.000 0.000
B: 0.500 0.500 0.500
C: 0.334 0.334 0.334
C: 0.334 0.666 0.666
C: 0.666 0.334 0.666
C: 0.666 0.666 0.334
N: 0.212 0.212 0.212
N: 0.212 0.788 0.788
N: 0.788 0.212 0.788
N: 0.788 0.788 0.212

A plane-wave DFT calculation with meta-GGA SCAN was carried out for LiBCO2 at its PBEsol-relaxed geometry.

Values from the calculation:
space-group type: P4/mmm
M_tot: 0.01 μB per formula unit
formation energy (no corrections): 0.0218 eV per atom
theoretical density: 2.6 g/cm3

Lattice parameters (Å, degrees): 3.587 3.587 3.025 90.00 90.00 90.00
Atoms (fractional coordinates):
Li: 0.000 0.000 0.000
B: 0.500 0.500 0.500
C: 0.500 0.500 0.000
O: 0.000 0.500 0.500
O: 0.500 0.000 0.500